A plane-wave DFT calculation with GGA-PBE was carried out for crystalline ReW at its relaxed geometry.

Properties
As for the total DFT energy (no corrections): -12.2122 eV per atom. For the spin magnetization, the calculation gives 0.0 Bohr magnetons per cell. The value obtained for the formation energy is 479 meV/atom.

a = 5.1960 Å, b = 8.9531 Å, c = 8.3359 Å
α = 90.00°, β = 90.00°, γ = 90.00°
Space group Cmcm (No. 63)
Symmetry-distinct sites (fractional):
Re 0.0000 0.1670 0.0607 x8
Re 0.0000 0.3300 0.7500 x4
W 0.0000 0.5000 0.0000 x4
W 0.2439 0.0864 0.7500 x8